Entry 1:
A relaxed Tc2HgSb crystal, computed with PBE-GGA.

## Properties
E above lowest polymorph   308 meV per atom

a = 2.9563 Å, b = 4.6849 Å, c = 11.0317 Å
α = 90.00°, β = 90.00°, γ = 90.00°
Closest atoms and distances in Å follow each position.
Space group Imm2 (No. 44)
Asymmetric unit:
Tc1 0.0000 0.0000 0.0000 x2  2 Tc 2.58
Tc2 0.0000 0.5000 0.3084 x2  2 Tc 2.58, 4 Hg 2.77, 2 Sb 2.85
Hg1 0.0000 0.5000 0.8073 x2  4 Tc 2.77, 2 Hg 2.96
Sb1 0.0000 0.0000 0.5873 x2  6 Tc 2.85-2.93, 2 Sb 2.96

Entry 2:
A relaxed CeEr3Tm2Te6 crystal, computed with PBE-GGA.

a = 18.9677 Å, b = 4.3080 Å, c = 8.7509 Å
α = 90.00°, β = 103.60°, γ = 90.00°
Closest atoms and distances in Å follow each position.
Space group C2/m (No. 12)
Asymmetric unit:
Ce1 0.0000 0.0000 0.0000 x2  6 Te 3.13-3.18
Er1 0.0000 0.0000 0.5000 x2  6 Te 3.01-3.12
Er2 0.1619 0.5000 0.8328 x4  6 Te 3.00-3.11
Tm1 0.1623 0.5000 0.3255 x4  6 Te 2.98-3.10
Te1 0.0007 0.5000 0.2605 x4  1 Tm 2.98, 3 Er 3.00-3.01, 2 Ce 3.13
Te2 0.1694 0.0000 0.5815 x4  3 Tm 3.09-3.10, 3 Er 3.11-3.12
Te3 0.1724 0.0000 0.0861 x4  2 Tm 3.04, 3 Er 3.05-3.06, 1 Ce 3.18

Entry 3:
A relaxed FeAgAs2 crystal, computed with PBE-GGA.

## Properties
Formation energy   0.165 eV/atom
E above lowest polymorph   117 meV per atom

a = 7.5619 Å, b = 3.2118 Å, c = 5.8114 Å
α = 90.00°, β = 102.58°, γ = 90.00°
Closest atoms and distances in Å follow each position.
Space group C2/m (No. 12)
Asymmetric unit:
Fe1 0.0000 0.0000 0.0000 x2  6 As 2.45-2.53
Ag1 0.0000 0.5000 0.5000 x2  6 As 2.75-2.90
As1 0.2292 0.5000 0.1912 x4  3 Fe 2.45-2.53

Entry 4:
A relaxed Ac2Nd6Y5 crystal, computed with PBE-GGA.

## Properties
Formation energy   0.107 eV/atom

a = 12.1158 Å, b = 20.8023 Å, c = 3.7290 Å
α = 90.00°, β = 90.00°, γ = 90.00°
Closest atoms and distances in Å follow each position.
Space group Pbam (No. 55)
Asymmetric unit:
Ac1 0.1644 0.2201 0.0000 x4  3 Nd 3.60-3.81, 6 Y 3.67-3.93, 2 Ac 3.73
Nd1 0.0594 0.9254 0.0000 x4  5 Nd 3.42-3.79, 6 Y 3.56-3.71
Nd2 0.0742 0.6376 0.0000 x4  6 Y 3.53-3.72, 1 Ac 3.60, 4 Nd 3.62-3.73
Nd3 0.1801 0.3793 0.5000 x4  2 Y 3.33-3.39, 2 Nd 3.62
Y1 0.0000 0.5000 0.5000 x2  6 Nd 3.33-3.53
Y2 0.0963 0.7815 0.5000 x4  5 Nd 3.39-3.56, 4 Ac 3.67-3.68, 2 Y 3.73
Y3 0.2014 0.0553 0.5000 x4  7 Nd 3.69-3.93, 3 Y 3.73-3.80, 2 Ac 3.93

Entry 5:
A relaxed Li2PaPN4 crystal, computed with PBE-GGA.

a = 3.2972 Å, b = 10.8969 Å, c = 9.4205 Å
α = 90.00°, β = 90.00°, γ = 90.00°
Closest atoms and distances in Å follow each position.
Space group Cmcm (No. 63)
Asymmetric unit:
Li1 0.0000 0.1079 0.0391 x8  2 N 1.83-1.99
Pa1 0.0000 0.4324 0.2500 x4  8 N 2.46-2.61
P1 0.0000 0.2989 0.7500 x4  2 N 1.61
N1 0.0000 0.1177 0.2500 x4  2 P 1.88, 2 Li 1.99
N2 0.0000 0.1967 0.6260 x8  1 P 1.61
N3 0.0000 0.5000 0.0000 x4  4 Li 2.06

| no. | E_tot (eV/atom) | mass density (g/cm³) |
| --- | --- | --- |
| 1 | -5.80 | 11.267 |
| 2 | -5.18 | 8.340 |
| 3 | -4.99 | 7.560 |
| 4 | -5.21 | 6.233 |
| 5 | -7.01 | 6.514 |